{
  "formula": "Ba2CaBe",
  "functional": "SCAN",
  "state": "PBEsol geometry",
  "dos_ef_per_ev_atom": 1.042,
  "magmom_total_mub_per_fu": 0.028,
  "e_form_mev_per_atom": 468,
  "spacegroup": "I-42d",
  "lattice_angstrom": [[10.452, 0.000, 0.000], [0.000, 10.452, 0.000], [0.000, 0.000, 6.138]],
  "species": ["Ba", "Ba", "Ba", "Ba", "Ba", "Ba", "Ba", "Ba", "Ca", "Ca", "Ca", "Ca", "Be", "Be", "Be", "Be"],
  "frac_coords": [[0.143, 0.750, 0.125], [0.250, 0.143, 0.875], [0.250, 0.357, 0.375], [0.357, 0.750, 0.625], [0.643, 0.250, 0.625], [0.750, 0.643, 0.375], [0.750, 0.857, 0.875], [0.857, 0.250, 0.125], [0.000, 0.000, 0.500], [0.000, 0.500, 0.750], [0.500, 0.000, 0.250], [0.500, 0.500, 0.000], [0.000, 0.000, 0.000], [0.000, 0.500, 0.250], [0.500, 0.000, 0.750], [0.500, 0.500, 0.500]]
}



{
  "formula": "Ti3As",
  "functional": "SCAN",
  "state": "PBEsol geometry",
  "dos_ef_per_ev_atom": 0.737,
  "magmom_total_mub_per_fu": 0.000,
  "e_form_mev_per_atom": -732,
  "spacegroup": "P4_2/n",
  "lattice_angstrom": [[10.044, 0.000, 0.000], [0.000, 10.044, 0.000], [0.000, 0.000, 5.049]],
  "species": ["Ti", "Ti", "Ti", "Ti", "Ti", "Ti", "Ti", "Ti", "Ti", "Ti", "Ti", "Ti", "Ti", "Ti", "Ti", "Ti", "Ti", "Ti", "Ti", "Ti", "Ti", "Ti", "Ti", "Ti", "As", "As", "As", "As", "As", "As", "As", "As"],
  "frac_coords": [[0.035, 0.933, 0.245], [0.067, 0.535, 0.745], [0.107, 0.277, 0.037], [0.146, 0.831, 0.713], [0.169, 0.646, 0.213], [0.223, 0.107, 0.463], [0.277, 0.393, 0.463], [0.331, 0.854, 0.213], [0.354, 0.669, 0.713], [0.393, 0.223, 0.037], [0.433, 0.965, 0.745], [0.465, 0.567, 0.245], [0.535, 0.433, 0.755], [0.567, 0.035, 0.255], [0.607, 0.777, 0.963], [0.646, 0.331, 0.287], [0.669, 0.146, 0.787], [0.723, 0.607, 0.537], [0.777, 0.893, 0.537], [0.831, 0.354, 0.787], [0.854, 0.169, 0.287], [0.893, 0.723, 0.963], [0.933, 0.465, 0.255], [0.965, 0.067, 0.755], [0.044, 0.291, 0.539], [0.209, 0.044, 0.961], [0.291, 0.456, 0.961], [0.456, 0.209, 0.539], [0.544, 0.791, 0.461], [0.709, 0.544, 0.039], [0.791, 0.956, 0.039], [0.956, 0.709, 0.461]]
}



{
  "formula": "Zr2CuRh",
  "functional": "SCAN",
  "state": "PBEsol geometry",
  "dos_ef_per_ev_atom": 0.761,
  "magmom_total_mub_per_fu": 0.000,
  "e_form_mev_per_atom": -547,
  "spacegroup": "P4/mmm",
  "lattice_angstrom": [[4.593, 0.000, 0.000], [0.000, 4.593, 0.000], [0.000, 0.000, 3.232]],
  "species": ["Zr", "Zr", "Cu", "Rh"],
  "frac_coords": [[0.000, 0.500, 0.000], [0.500, 0.000, 0.000], [0.000, 0.000, 0.500], [0.500, 0.500, 0.500]]
}



{
  "formula": "Cr2NiAg",
  "functional": "SCAN",
  "state": "PBEsol geometry",
  "dos_ef_per_ev_atom": 1.204,
  "magmom_total_mub_per_fu": 0.009,
  "e_form_mev_per_atom": 558,
  "spacegroup": "I4/mmm",
  "lattice_angstrom": [[3.500, 0.000, 0.000], [0.000, 3.500, 0.000], [0.000, 0.000, 7.973]],
  "species": ["Cr", "Cr", "Cr", "Cr", "Ni", "Ni", "Ag", "Ag"],
  "frac_coords": [[0.000, 0.500, 0.250], [0.000, 0.500, 0.750], [0.500, 0.000, 0.250], [0.500, 0.000, 0.750], [0.000, 0.000, 0.000], [0.500, 0.500, 0.500], [0.000, 0.000, 0.500], [0.500, 0.500, 0.000]]
}



{
  "formula": "Sr2SiS4",
  "functional": "SCAN",
  "state": "PBEsol geometry",
  "dos_ef_per_ev_atom": 0.000,
  "formation_energy_uncorrected_ev_per_fu": -12.66,
  "magmom_total_mub_per_fu": 0.000,
  "spacegroup": "P2_1/m",
  "lattice_angstrom": [[6.516, 0.000, 0.000], [0.000, 6.545, 0.000], [-2.588, 0.000, 7.765]],
  "species": ["Sr", "Sr", "Sr", "Sr", "Si", "Si", "S", "S", "S", "S", "S", "S", "S", "S"],
  "frac_coords": [[0.217, 0.250, 0.049], [0.275, 0.250, 0.571], [0.725, 0.750, 0.429], [0.783, 0.750, 0.951], [0.219, 0.750, 0.796], [0.781, 0.250, 0.204], [0.004, 0.002, 0.736], [0.004, 0.498, 0.736], [0.386, 0.750, 0.065], [0.415, 0.750, 0.632], [0.585, 0.250, 0.368], [0.614, 0.250, 0.935], [0.996, 0.502, 0.264], [0.996, 0.998, 0.264]]
}



{
  "formula": "AlTcW",
  "functional": "SCAN",
  "state": "PBEsol geometry",
  "dos_ef_per_ev_atom": 1.617,
  "magmom_total_mub_per_fu": 0.006,
  "e_form_mev_per_atom": 953,
  "spacegroup": "F-43m",
  "lattice_angstrom": [[5.842, 0.000, 0.000], [0.000, 5.842, 0.000], [0.000, 0.000, 5.842]],
  "species": ["Al", "Al", "Al", "Al", "Tc", "Tc", "Tc", "Tc", "W", "W", "W", "W"],
  "frac_coords": [[0.000, 0.000, 0.000], [0.000, 0.500, 0.500], [0.500, 0.000, 0.500], [0.500, 0.500, 0.000], [0.250, 0.250, 0.750], [0.250, 0.750, 0.250], [0.750, 0.250, 0.250], [0.750, 0.750, 0.750], [0.250, 0.250, 0.250], [0.250, 0.750, 0.750], [0.750, 0.250, 0.750], [0.750, 0.750, 0.250]]
}



{
  "formula": "CdN2O2",
  "functional": "SCAN",
  "state": "PBEsol geometry",
  "dos_ef_per_ev_atom": 0.333,
  "formation_energy_uncorrected_ev_per_fu": 9.89,
  "magmom_total_mub_per_fu": 7.967,
  "spacegroup": "P4/mmm",
  "lattice_angstrom": [[4.224, 0.000, 0.000], [0.000, 4.224, 0.000], [0.000, 0.000, 4.669]],
  "species": ["Cd", "N", "N", "O", "O"],
  "frac_coords": [[0.000, 0.000, 0.000], [0.000, 0.000, 0.500], [0.500, 0.500, 0.500], [0.000, 0.500, 0.000], [0.500, 0.000, 0.000]]
}



{
  "formula": "YRe2Sb",
  "functional": "SCAN",
  "state": "PBEsol geometry",
  "dos_ef_per_ev_atom": 0.870,
  "formation_energy_uncorrected_ev_per_fu": 2.06,
  "magmom_total_mub_per_fu": 0.000,
  "spacegroup": "Pmmm",
  "lattice_angstrom": [[3.181, 0.000, 0.000], [0.000, 4.058, 0.000], [0.000, 0.000, 5.923]],
  "species": ["Y", "Re", "Re", "Sb"],
  "frac_coords": [[0.000, 0.000, 0.000], [0.500, 0.500, 0.292], [0.500, 0.500, 0.708], [0.000, 0.000, 0.500]]
}



{
  "formula": "CaTi2S4",
  "functional": "SCAN",
  "state": "PBEsol geometry",
  "dos_ef_per_ev_atom": 0.551,
  "formation_energy_uncorrected_ev_per_fu": -12.48,
  "magmom_total_mub_per_fu": 0.770,
  "spacegroup": "P2/m",
  "lattice_angstrom": [[5.867, 0.000, 0.000], [0.000, 3.491, 0.000], [-2.004, 0.000, 6.541]],
  "species": ["Ca", "Ti", "Ti", "S", "S", "S", "S"],
  "frac_coords": [[0.000, 0.000, 0.000], [0.000, 0.500, 0.500], [0.500, 0.000, 0.500], [0.243, 0.000, 0.717], [0.266, 0.500, 0.279], [0.734, 0.500, 0.721], [0.757, 0.000, 0.283]]
}



{
  "formula": "Li4Mn3CoO8",
  "functional": "SCAN",
  "state": "PBEsol geometry",
  "formation_energy_uncorrected_ev_per_fu": -34.09,
  "magmom_total_mub_per_fu": 12.000,
  "spacegroup": "P-1",
  "lattice_angstrom": [[4.936, 0.000, 0.000], [-1.446, 4.781, 0.000], [-0.445, -0.416, 5.912]],
  "species": ["Li", "Li", "Li", "Li", "Mn", "Mn", "Mn", "Co", "O", "O", "O", "O", "O", "O", "O", "O"],
  "frac_coords": [[0.000, 0.000, 0.000], [0.000, 0.000, 0.500], [0.490, 0.998, 0.259], [0.510, 0.002, 0.741], [0.002, 0.509, 0.743], [0.500, 0.500, 0.000], [0.998, 0.491, 0.257], [0.500, 0.500, 0.500], [0.241, 0.260, 0.264], [0.256, 0.736, 0.481], [0.256, 0.738, 0.983], [0.277, 0.297, 0.732], [0.723, 0.703, 0.268], [0.744, 0.262, 0.017], [0.744, 0.264, 0.519], [0.759, 0.740, 0.736]]
}



{
  "formula": "TbAl3Cu2",
  "functional": "SCAN",
  "state": "PBEsol geometry",
  "dos_ef_per_ev_atom": 0.234,
  "magmom_total_mub_per_fu": 0.001,
  "e_form_mev_per_atom": -515,
  "spacegroup": "P6/mmm",
  "lattice_angstrom": [[5.291, 0.000, 0.000], [-2.646, 4.582, 0.000], [0.000, 0.000, 4.011]],
  "species": ["Tb", "Al", "Al", "Al", "Cu", "Cu"],
  "frac_coords": [[0.000, 0.000, 0.000], [0.000, 0.500, 0.500], [0.500, 0.000, 0.500], [0.500, 0.500, 0.500], [0.333, 0.667, 0.000], [0.667, 0.333, 0.000]]
}



{
  "formula": "MgNi2Os",
  "functional": "SCAN",
  "state": "PBEsol geometry",
  "dos_ef_per_ev_atom": 0.871,
  "magmom_total_mub_per_fu": 0.000,
  "e_form_mev_per_atom": 169,
  "spacegroup": "C2/m",
  "lattice_angstrom": [[8.450, 0.000, 0.000], [0.000, 2.593, 0.000], [-0.640, 0.000, 4.700]],
  "species": ["Mg", "Mg", "Ni", "Ni", "Ni", "Ni", "Os", "Os"],
  "frac_coords": [[0.000, 0.000, 0.000], [0.500, 0.500, 0.000], [0.244, 0.000, 0.725], [0.256, 0.500, 0.275], [0.744, 0.500, 0.725], [0.756, 0.000, 0.275], [0.000, 0.500, 0.500], [0.500, 0.000, 0.500]]
}



{
  "formula": "KBaAs2",
  "functional": "SCAN",
  "state": "PBEsol geometry",
  "dos_ef_per_ev_atom": 0.380,
  "magmom_total_mub_per_fu": 0.000,
  "e_form_mev_per_atom": -522,
  "spacegroup": "P4/mmm",
  "lattice_angstrom": [[3.460, 0.000, 0.000], [0.000, 3.460, 0.000], [0.000, 0.000, 9.410]],
  "species": ["K", "Ba", "As", "As"],
  "frac_coords": [[0.000, 0.000, 0.000], [0.000, 0.000, 0.500], [0.500, 0.500, 0.254], [0.500, 0.500, 0.746]]
}